K2AlP after structural relaxation, computed with PBE.

a b c (Å): 3.906 5.248 6.877
angles (deg): 67.53 90.00 90.00
Fractional coordinates of all 4 atoms:
P: 0.000 0.688 0.496
K: 0.500 0.270 0.336
K: 0.000 0.962 0.951
Al: 0.500 0.580 0.717

Computed properties:
E: -12.29 eV for the cell shown

ZnTcNiMo after structural relaxation, computed with PBE.

a b c (Å): 4.292 4.292 4.292
angles (deg): 60.00 60.00 60.00
Site moments in Bohr magnetons follow the coordinates.
Fractional coordinates of all 4 atoms:
Tc: 0.500 0.500 0.500  -0.01
Ni: 0.000 0.000 0.000  0.36
Mo: 0.750 0.750 0.750  0.32
Zn: 0.250 0.250 0.250  0.00

Computed properties:
E: -27.91 eV for the cell shown

ZnSe after structural relaxation, computed with PBE.

a b c (Å): 7.752 7.752 6.928
angles (deg): 58.84 58.84 30.03
Fractional coordinates of all 6 atoms:
Se: 0.966 0.966 0.061
Se: 0.537 0.537 0.456
Se: 0.756 0.756 0.802
Zn: 0.477 0.477 0.848
Zn: 0.938 0.938 0.470
Zn: 0.159 0.159 0.864

Computed properties:
raw formation energy: -53 kJ/mol of atoms

Tm4Th after structural relaxation, computed with PBE.

a b c (Å): 5.910 6.266 9.366
angles (deg): 90.00 90.00 114.52
Fractional coordinates of all 10 atoms:
Tm: 0.070 0.683 0.193
Tm: 0.430 0.317 0.193
Tm: 0.980 0.259 0.429
Tm: 0.520 0.741 0.429
Tm: 0.930 0.317 0.807
Tm: 0.020 0.741 0.571
Tm: 0.480 0.259 0.571
Tm: 0.570 0.683 0.807
Th: 0.750 0.000 0.103
Th: 0.250 0.000 0.897

Computed properties:
E: -48.51 eV for the cell shown

LaZrPt2 after structural relaxation, computed with PBE.

a b c (Å): 4.054 4.072 5.780
angles (deg): 90.00 90.00 90.00
Fractional coordinates of all 4 atoms:
Pt: 0.000 0.000 0.875
Pt: 0.500 0.500 0.375
Zr: 0.000 0.000 0.375
La: 0.500 0.500 0.875

Computed properties:
E: -29.06 eV for the cell shown

Cs2CoPCl6 after structural relaxation, computed with PBE.

a b c (Å): 7.139 7.139 7.638
angles (deg): 62.14 62.14 90.00
Site moments in Bohr magnetons follow the coordinates.
Fractional coordinates of all 10 atoms:
Co: 0.000 0.000 0.000  2.41
Cl: 0.196 0.196 0.608  0.08
Cl: 0.262 0.738 0.000  0.07
Cl: 0.804 0.804 0.392  0.08
Cl: 0.262 0.262 0.000  0.06
Cl: 0.738 0.738 0.000  0.06
Cl: 0.738 0.262 0.000  0.07
P: 0.500 0.500 0.000  0.43
Cs: 0.750 0.250 0.500  0.00
Cs: 0.250 0.750 0.500  0.00

Computed properties:
raw formation energy: -94 kJ/mol of atoms

Mass density (Mg/m³)
1.7, 9.4, 4.1, 9.6, 10.8, 3.2